(1)
NaSr3Ag (GGA-PBE, relaxed); symmetry = No. 1; magnetic moment = 0.0 μB/f.u.; DFT formation energy = -0.07 eV/atom; E_tot = -0.1409 Ry/atom
1.0
6.4667 0.0000 0.0000
1.1183 8.1324 0.0000
0.5470 -0.0302 8.1971
Na Sr Ag
2 6 2
direct
0.0000 0.0000 0.0000 Na
0.0456 0.4019 0.6076 Na
0.0293 0.8686 0.5238 Sr
0.1099 0.4850 0.0791 Sr
0.4631 0.0706 0.2466 Sr
0.5496 0.1923 0.7181 Sr
0.5622 0.7058 0.8539 Sr
0.5737 0.5683 0.3721 Sr
0.6547 0.3569 0.0464 Ag
0.8963 0.2146 0.3286 Ag


(2)
Rb3Mn2HgBr9 (GGA-PBE, relaxed); symmetry = No. 164; magnetic moment = 10.0 μB/f.u.; E_tot = -0.2586 Ry/atom
1.0
7.7309 0.0000 0.0000
-3.8654 6.6951 0.0000
0.0000 0.0000 9.4911
Rb Mn Hg Br
3 2 1 9
direct
0.0000 0.0000 0.0000 Rb
0.3333 0.6667 0.6675 Rb
0.6667 0.3333 0.3325 Rb
0.3333 0.6667 0.1605 Mn
0.6667 0.3333 0.8395 Mn
0.0000 0.0000 0.5000 Hg
0.0000 0.5000 0.0000 Br
0.1721 0.3441 0.3244 Br
0.1721 0.8279 0.3244 Br
0.3441 0.1721 0.6756 Br
0.5000 0.0000 0.0000 Br
0.5000 0.5000 0.0000 Br
0.6559 0.8279 0.3244 Br
0.8279 0.1721 0.6756 Br
0.8279 0.6559 0.6756 Br


(3)
BiSbSe2N (GGA-PBE, relaxed); symmetry = No. 123; magnetic moment = 0.0 μB/f.u.; E_tot = -0.2723 Ry/atom
1.0
5.5561 0.0000 0.0000
0.0000 5.5561 0.0000
0.0000 0.0000 4.1638
Bi Sb Se N
1 1 2 1
direct
0.0000 0.0000 0.0000 Bi
0.5000 0.5000 0.5000 Sb
0.0000 0.5000 0.0000 Se
0.5000 0.0000 0.0000 Se
0.0000 0.0000 0.5000 N


(4)
K4MgTc (GGA-PBE, relaxed); symmetry = No. 216; magnetic moment = 3.5 μB/f.u.; DFT formation energy = 1.08 eV/atom; E_tot = -0.1206 Ry/atom
1.0
0.0000 5.1249 5.1249
5.1249 0.0000 5.1249
5.1249 5.1249 0.0000
K Mg Tc
4 1 1
direct
0.1255 0.1255 0.1255 K
0.1255 0.1255 0.6236 K
0.1255 0.6236 0.1255 K
0.6236 0.1255 0.1255 K
0.7500 0.7500 0.7500 Mg
0.5000 0.5000 0.5000 Tc


(5)
Mo4C3 (GGA-PBE, relaxed); symmetry = No. 191; magnetic moment = 0.0 μB/f.u.; DFT formation energy = 1.63 eV/atom; E_tot = -0.6260 Ry/atom
1.0
4.4862 0.0000 0.0000
-2.2431 3.8852 0.0000
0.0000 0.0000 4.7177
Mo C
4 3
direct
0.0000 0.0000 0.2387 Mo
0.0000 0.0000 0.7613 Mo
0.3333 0.6667 0.5000 Mo
0.6667 0.3333 0.5000 Mo
0.0000 0.5000 0.0000 C
0.5000 0.0000 0.0000 C
0.5000 0.5000 0.0000 C


(6)
K2PPb (GGA-PBE, relaxed); symmetry = No. 44; magnetic moment = 0.0 μB/f.u.; DFT formation energy = -0.21 eV/atom; E_tot = -0.2236 Ry/atom
1.0
4.0725 0.0000 0.0000
0.0000 5.6695 0.0000
0.0000 0.0000 11.6839
K P Pb
4 2 2
direct
0.0000 0.0000 0.0000 K
0.0000 0.5000 0.1913 K
0.5000 0.0000 0.6913 K
0.5000 0.5000 0.5000 K
0.0000 0.5000 0.7381 P
0.5000 0.0000 0.2381 P
0.0000 0.0000 0.3887 Pb
0.5000 0.5000 0.8887 Pb


(7)
KZrTa2 (GGA-PBE, relaxed); symmetry = No. 123; magnetic moment = 0.0 μB/f.u.; DFT formation energy = 0.86 eV/atom; E_tot = -0.5500 Ry/atom
1.0
3.5368 0.0000 0.0000
0.0000 3.5368 0.0000
0.0000 0.0000 8.7668
K Zr Ta
1 1 2
direct
0.0000 0.0000 0.0000 K
0.0000 0.0000 0.5000 Zr
0.5000 0.5000 0.3436 Ta
0.5000 0.5000 0.6564 Ta


(8)
KMo2Cl (GGA-PBE, relaxed); symmetry = No. 122; magnetic moment = 0.0 μB/f.u.; E_tot = -0.3998 Ry/atom
1.0
3.7815 0.0000 0.0000
0.0000 3.7815 0.0000
0.0000 0.0000 30.9098
K Mo Cl
4 8 4
direct
0.0000 0.0000 0.0000 K
0.0000 0.5000 0.2500 K
0.5000 0.0000 0.7500 K
0.5000 0.5000 0.5000 K
0.2022 0.7500 0.6250 Mo
0.2500 0.2022 0.3750 Mo
0.2500 0.2978 0.8750 Mo
0.2978 0.7500 0.1250 Mo
0.7022 0.2500 0.1250 Mo
0.7500 0.7022 0.8750 Mo
0.7500 0.7978 0.3750 Mo
0.7978 0.2500 0.6250 Mo
0.0000 0.0000 0.5000 Cl
0.0000 0.5000 0.7500 Cl
0.5000 0.0000 0.2500 Cl
0.5000 0.5000 0.0000 Cl


(9)
Sr4AsCl (GGA-PBE, relaxed); symmetry = No. 216; magnetic moment = 0.0 μB/f.u.; E_tot = -0.1589 Ry/atom
1.0
0.0000 5.0108 5.0108
5.0108 0.0000 5.0108
5.0108 5.0108 0.0000
Sr As Cl
4 1 1
direct
0.1236 0.1236 0.1236 Sr
0.1236 0.1236 0.6291 Sr
0.1236 0.6291 0.1236 Sr
0.6291 0.1236 0.1236 Sr
0.7500 0.7500 0.7500 As
0.5000 0.5000 0.5000 Cl


(10)
CsCe2CuS4 (GGA-PBE, relaxed); symmetry = No. 63; magnetic moment = 2.0 μB/f.u.; E_tot = -0.4226 Ry/atom
1.0
2.0579 -7.2173 0.0000
2.0579 7.2173 0.0000
0.0000 0.0000 14.0637
Cs Ce Cu S
2 4 2 8
direct
0.1036 0.8964 0.7500 Cs
0.8964 0.1036 0.2500 Cs
0.3677 0.6323 0.5579 Ce
0.3677 0.6323 0.9421 Ce
0.6323 0.3677 0.0579 Ce
0.6323 0.3677 0.4421 Ce
0.1683 0.8317 0.2500 Cu
0.8317 0.1683 0.7500 Cu
0.0000 0.0000 0.0000 S
0.0000 0.0000 0.5000 S
0.2559 0.7441 0.1091 S
0.2559 0.7441 0.3909 S
0.4149 0.5851 0.7500 S
0.5851 0.4149 0.2500 S
0.7441 0.2559 0.6091 S
0.7441 0.2559 0.8909 S


(11)
Ba2LaZn (GGA-PBE, relaxed); symmetry = No. 10; magnetic moment = 0.0 μB/f.u.; DFT formation energy = 0.15 eV/atom; E_tot = -0.1735 Ry/atom
1.0
4.2051 0.0000 0.0000
0.0000 5.3523 0.0000
-1.5563 0.0000 7.1986
Ba La Zn
2 1 1
direct
0.0943 0.0000 0.2723 Ba
0.9057 0.0000 0.7277 Ba
0.5000 0.5000 0.0000 La
0.5000 0.5000 0.5000 Zn


(12)
Ge3BiSe (GGA-PBE, relaxed); symmetry = No. 221; magnetic moment = 0.0 μB/f.u.; E_tot = -0.2326 Ry/atom
1.0
5.5350 0.0000 0.0000
0.0000 5.5350 0.0000
0.0000 0.0000 5.5350
Ge Bi Se
3 1 1
direct
0.0000 0.0000 0.5000 Ge
0.0000 0.5000 0.0000 Ge
0.5000 0.0000 0.0000 Ge
0.0000 0.0000 0.0000 Bi
0.5000 0.5000 0.5000 Se


- Which of these has the lowest E_tot?
  Mo4C3


Repeat the eighth record exactly.
KMo2Cl (GGA-PBE, relaxed); symmetry = No. 122; magnetic moment = 0.0 μB/f.u.; E_tot = -0.3998 Ry/atom
1.0
3.7815 0.0000 0.0000
0.0000 3.7815 0.0000
0.0000 0.0000 30.9098
K Mo Cl
4 8 4
direct
0.0000 0.0000 0.0000 K
0.0000 0.5000 0.2500 K
0.5000 0.0000 0.7500 K
0.5000 0.5000 0.5000 K
0.2022 0.7500 0.6250 Mo
0.2500 0.2022 0.3750 Mo
0.2500 0.2978 0.8750 Mo
0.2978 0.7500 0.1250 Mo
0.7022 0.2500 0.1250 Mo
0.7500 0.7022 0.8750 Mo
0.7500 0.7978 0.3750 Mo
0.7978 0.2500 0.6250 Mo
0.0000 0.0000 0.5000 Cl
0.0000 0.5000 0.7500 Cl
0.5000 0.0000 0.2500 Cl
0.5000 0.5000 0.0000 Cl